Record 1
Density functional theory data (PBE-GGA) for Cs2KCuCl4 after structural relaxation.

## Properties
- Total magnetic moment: 0.2 μB/cell
- Raw total energy: -3.30 eV/atom
- Volume: 665.8 Å³ per cell
- Symmetry: No. 63
- Fermi-level density of states: 0.000 states/eV/atom
- Density: 2.5 g/cm³

a b c (Å): 4.482 9.114 16.814
angles (deg): 90.00 90.00 104.23
Last column: magnetic moment on the atom in μB.
Atoms (fractional coordinates):
Cs (0.368, 0.737, 0.547)  0.00
Cs (0.632, 0.263, 0.047)  0.00
Cs (0.632, 0.263, 0.453)  0.00
Cs (0.368, 0.737, 0.953)  0.00
K (0.171, 0.342, 0.750)  0.00
K (0.829, 0.658, 0.250)  0.00
Cu (0.812, 0.624, 0.750)  0.07
Cu (0.188, 0.376, 0.250)  0.07
Cl (0.270, 0.541, 0.136)  0.00
Cl (0.730, 0.459, 0.636)  0.00
Cl (0.730, 0.459, 0.864)  0.00
Cl (0.270, 0.541, 0.364)  0.00
Cl (0.000, 0.000, 0.500)  0.00
Cl (0.000, 0.000, 0.000)  0.00
Cl (0.365, 0.729, 0.750)  0.01
Cl (0.635, 0.271, 0.250)  0.01


Record 2
Density functional theory data (PBE-GGA) for Cs3KCu2Cl9 after structural relaxation.

## Properties
- Total magnetic moment: 0.0 μB/cell
- Raw total energy: -3.13 eV/atom
- Volume: 433.9 Å³ per cell
- Symmetry: No. 164
- Fermi-level density of states: 0.367 states/eV/atom
- Density: 3.4 g/cm³

a b c (Å): 7.324 7.324 9.342
angles (deg): 90.00 90.00 120.00
Atoms (fractional coordinates):
Cs (0.333, 0.667, 0.675)
Cs (0.000, 0.000, 0.000)
Cs (0.667, 0.333, 0.325)
K (0.000, 0.000, 0.500)
Cu (0.333, 0.667, 0.151)
Cu (0.667, 0.333, 0.849)
Cl (0.820, 0.180, 0.708)
Cl (0.820, 0.639, 0.708)
Cl (0.361, 0.180, 0.708)
Cl (0.639, 0.820, 0.292)
Cl (0.180, 0.361, 0.292)
Cl (0.180, 0.820, 0.292)
Cl (0.500, 0.000, 0.000)
Cl (0.000, 0.500, 0.000)
Cl (0.500, 0.500, 0.000)


Record 3
Density functional theory data (PBE-GGA) for CsLaCuCl5 after structural relaxation.

## Properties
- Total magnetic moment: 0.3 μB/cell
- Raw total energy: -4.18 eV/atom
- Volume: 556.4 Å³ per cell
- Symmetry: No. 15
- Fermi-level density of states: 0.000 states/eV/atom
- Density: 3.1 g/cm³

a b c (Å): 7.732 7.732 10.526
angles (deg): 103.45 103.45 106.37
Last column: magnetic moment on the atom in μB.
Atoms (fractional coordinates):
Cs (0.349, 0.651, 0.250)  0.00
Cs (0.651, 0.349, 0.750)  0.00
La (0.000, 0.000, 0.500)  0.00
La (0.000, 0.000, 0.000)  0.00
Cu (0.689, 0.311, 0.250)  0.13
Cu (0.311, 0.689, 0.750)  0.13
Cl (0.076, 0.924, 0.250)  0.00
Cl (0.924, 0.076, 0.750)  0.00
Cl (0.891, 0.302, 0.114)  0.00
Cl (0.109, 0.698, 0.886)  0.00
Cl (0.698, 0.109, 0.386)  0.00
Cl (0.302, 0.891, 0.614)  0.00
Cl (0.770, 0.615, 0.411)  0.00
Cl (0.230, 0.385, 0.589)  0.00
Cl (0.385, 0.230, 0.089)  0.00
Cl (0.615, 0.770, 0.911)  0.00


Record 4
Density functional theory data (PBE-GGA) for Cs2LaCuCl6 after structural relaxation.

## Properties
- Total magnetic moment: 0.1 μB/cell
- Raw total energy: -4.01 eV/atom
- Volume: 309.7 Å³ per cell
- Symmetry: No. 225
- Fermi-level density of states: 0.000 states/eV/atom
- Density: 3.7 g/cm³

a b c (Å): 7.594 7.594 7.594
angles (deg): 60.00 60.00 60.00
Last column: magnetic moment on the atom in μB.
Atoms (fractional coordinates):
Cs (0.750, 0.750, 0.750)  0.00
Cs (0.250, 0.250, 0.250)  0.00
La (0.000, 0.000, 0.000)  0.00
Cu (0.500, 0.500, 0.500)  0.09
Cl (0.741, 0.259, 0.259)  0.00
Cl (0.259, 0.259, 0.741)  0.00
Cl (0.259, 0.741, 0.741)  0.00
Cl (0.259, 0.741, 0.259)  0.00
Cl (0.741, 0.259, 0.741)  0.00
Cl (0.741, 0.741, 0.259)  0.00


Record 5
Density functional theory data (PBE-GGA) for Cs3LaCu2Cl9 after structural relaxation.

## Properties
- Total magnetic moment: 1.1 μB/cell
- Raw total energy: -3.75 eV/atom
- Volume: 434.9 Å³ per cell
- Symmetry: No. 164
- Fermi-level density of states: 0.167 states/eV/atom
- Density: 3.8 g/cm³

a b c (Å): 7.395 7.395 9.182
angles (deg): 90.00 90.00 120.00
Last column: magnetic moment on the atom in μB.
Atoms (fractional coordinates):
Cs (0.333, 0.667, 0.682)  0.00
Cs (0.000, 0.000, 0.000)  0.00
Cs (0.667, 0.333, 0.318)  0.00
La (0.000, 0.000, 0.500)  0.01
Cu (0.333, 0.667, 0.133)  0.35
Cu (0.667, 0.333, 0.867)  0.35
Cl (0.825, 0.175, 0.678)  0.01
Cl (0.825, 0.650, 0.678)  0.01
Cl (0.350, 0.175, 0.678)  0.01
Cl (0.650, 0.825, 0.322)  0.01
Cl (0.175, 0.350, 0.322)  0.01
Cl (0.175, 0.825, 0.322)  0.01
Cl (0.500, 0.000, 0.000)  0.07
Cl (0.000, 0.500, 0.000)  0.07
Cl (0.500, 0.500, 0.000)  0.07


Record 6
Density functional theory data (PBE-GGA) for Cs2LaCuCl6 after structural relaxation.

## Properties
- Total magnetic moment: 0.1 μB/cell
- Raw total energy: -4.01 eV/atom
- Volume: 333.2 Å³ per cell
- Symmetry: No. 164
- Fermi-level density of states: 0.000 states/eV/atom
- Density: 3.4 g/cm³

a b c (Å): 6.557 7.661 7.661
angles (deg): 120.00 90.00 90.00
Last column: magnetic moment on the atom in μB.
Atoms (fractional coordinates):
Cs (0.203, 0.333, 0.667)  0.00
Cs (0.797, 0.667, 0.333)  0.00
La (0.500, 0.000, 0.000)  0.00
Cu (0.000, 0.000, 0.000)  0.10
Cl (0.769, 0.162, 0.323)  0.00
Cl (0.769, 0.162, 0.838)  0.00
Cl (0.769, 0.677, 0.838)  0.00
Cl (0.231, 0.838, 0.162)  0.00
Cl (0.231, 0.323, 0.162)  0.00
Cl (0.231, 0.838, 0.677)  0.00


Record 7
Density functional theory data (PBE-GGA) for CsLaCu2Cl8 after structural relaxation.

## Properties
- Total magnetic moment: 2.1 μB/cell
- Raw total energy: -3.72 eV/atom
- Volume: 405.1 Å³ per cell
- Symmetry: No. 12
- Fermi-level density of states: 0.391 states/eV/atom
- Density: 2.8 g/cm³

a b c (Å): 6.127 6.127 11.061
angles (deg): 89.65 89.65 77.35
Last column: magnetic moment on the atom in μB.
Atoms (fractional coordinates):
Cs (0.000, 0.000, 0.500)  0.00
La (0.000, 0.000, 0.000)  0.02
Cu (0.612, 0.612, 0.208)  0.53
Cu (0.388, 0.388, 0.792)  0.53
Cl (0.760, 0.211, 0.799)  0.09
Cl (0.706, 0.706, 0.018)  0.06
Cl (0.655, 0.655, 0.402)  0.16
Cl (0.345, 0.345, 0.598)  0.16
Cl (0.294, 0.294, 0.982)  0.06
Cl (0.211, 0.760, 0.799)  0.09
Cl (0.789, 0.240, 0.201)  0.09
Cl (0.240, 0.789, 0.201)  0.09


Record 8
Density functional theory data (PBE-GGA) for CsLi2CuCl after structural relaxation.

## Properties
- Total magnetic moment: 0.0 μB/cell
- Raw total energy: -1.64 eV/atom
- Volume: 254.9 Å³ per cell
- Symmetry: No. 123
- Fermi-level density of states: 0.729 states/eV/atom
- Density: 1.6 g/cm³

a b c (Å): 6.559 5.926 6.559
angles (deg): 90.00 90.00 90.00
Atoms (fractional coordinates):
Cs (0.000, 0.000, 0.000)
Li (0.000, 0.000, 0.500)
Li (0.500, 0.000, 0.000)
Cu (0.500, 0.500, 0.500)
Cl (0.000, 0.500, 0.000)


Record 9
Density functional theory data (PBE-GGA) for Cs2LiCu2Cl7 after structural relaxation.

## Properties
- Total magnetic moment: 0.0 μB/cell
- Raw total energy: -3.19 eV/atom
- Volume: 319.0 Å³ per cell
- Symmetry: No. 12
- Fermi-level density of states: 0.236 states/eV/atom
- Density: 3.4 g/cm³

a b c (Å): 4.973 4.973 13.368
angles (deg): 79.32 79.32 90.00
Atoms (fractional coordinates):
Cs (0.824, 0.824, 0.355)
Cs (0.176, 0.176, 0.645)
Li (0.000, 0.000, 0.000)
Cu (0.587, 0.587, 0.821)
Cu (0.413, 0.413, 0.179)
Cl (0.500, 0.500, 0.000)
Cl (0.321, 0.321, 0.363)
Cl (0.679, 0.679, 0.637)
Cl (0.920, 0.421, 0.163)
Cl (0.421, 0.920, 0.163)
Cl (0.579, 0.080, 0.837)
Cl (0.080, 0.579, 0.837)


Record 10
Density functional theory data (PBE-GGA) for Cs3LiCu2Cl9 after structural relaxation.

## Properties
- Total magnetic moment: 0.0 μB/cell
- Raw total energy: -3.16 eV/atom
- Volume: 385.5 Å³ per cell
- Symmetry: No. 164
- Fermi-level density of states: 0.475 states/eV/atom
- Density: 3.7 g/cm³

a b c (Å): 7.126 7.126 8.766
angles (deg): 90.00 90.00 120.00
Atoms (fractional coordinates):
Cs (0.333, 0.667, 0.660)
Cs (0.000, 0.000, 0.000)
Cs (0.667, 0.333, 0.340)
Li (0.000, 0.000, 0.500)
Cu (0.333, 0.667, 0.166)
Cu (0.667, 0.333, 0.834)
Cl (0.827, 0.173, 0.683)
Cl (0.827, 0.654, 0.683)
Cl (0.346, 0.173, 0.683)
Cl (0.654, 0.827, 0.317)
Cl (0.173, 0.346, 0.317)
Cl (0.173, 0.827, 0.317)
Cl (0.500, 0.000, 0.000)
Cl (0.000, 0.500, 0.000)
Cl (0.500, 0.500, 0.000)